No. 1
Below is a relaxed NaVZn crystal, with properties calculated at the PBE level.

Properties
ρ = 3.53 Mg/m³
energy relative to the lowest polymorph listed for this composition = 14.5 kJ/mol of atoms
energy of formation from the pure elements = 0.285 eV per atom
crystal system = monoclinic

```
data_NaVZn
_chemical_formula_sum 'Na2 V2 Zn2'
_cell_length_a 3.0240
_cell_length_b 4.3662
_cell_length_c 10.0264
_cell_angle_alpha 90.00
_cell_angle_beta 98.45
_cell_angle_gamma 90.00
_symmetry_space_group_name_H-M 'P 1 m 1'
_symmetry_Int_Tables_number 6
loop_
_symmetry_equiv_pos_as_xyz
'x,y,z'
'x,-y,z'
loop_
_atom_site_label
_atom_site_type_symbol
_atom_site_fract_x
_atom_site_fract_y
_atom_site_fract_z
_atom_site_occupancy
Na1 Na 0.0000 0.0000 0.0000 1
Na2 Na 0.3639 0.5000 0.7246 1
V1 V 0.1332 0.5000 0.2646 1
V2 V 0.7196 0.5000 0.4410 1
Zn1 Zn 0.2409 0.0000 0.4847 1
Zn2 Zn 0.6319 0.0000 0.2628 1
```

***

No. 2
Below is a relaxed ReAgSb2 crystal, with properties calculated at the PBE level.

Properties
ρ = 10.83 Mg/m³
E_form (uncorrected) = 0.8285 eV per atom
energy relative to the lowest polymorph listed for this composition = 48.9 kJ/mol of atoms
crystal system = orthorhombic

```
data_ReAgSb2
_chemical_formula_sum 'Re1 Ag1 Sb2'
_cell_length_a 3.4804
_cell_length_b 4.4057
_cell_length_c 5.3744
_cell_angle_alpha 90.00
_cell_angle_beta 90.00
_cell_angle_gamma 90.00
_symmetry_space_group_name_H-M 'P m m m'
_symmetry_Int_Tables_number 47
loop_
_symmetry_equiv_pos_as_xyz
'x,y,z'
'-x,-y,-z'
'-x,-y,z'
'x,y,-z'
'x,-y,-z'
'-x,y,z'
'-x,y,-z'
'x,-y,z'
loop_
_atom_site_label
_atom_site_type_symbol
_atom_site_fract_x
_atom_site_fract_y
_atom_site_fract_z
_atom_site_occupancy
Re1 Re 0.0000 0.0000 0.0000 1
Ag1 Ag 0.5000 0.0000 0.5000 1
Sb1 Sb 0.0000 0.5000 0.5000 1
Sb2 Sb 0.5000 0.5000 0.0000 1
```

***

No. 3
Below is a relaxed Tb6Pm5In crystal, with properties calculated at the PBE level.

Properties
ρ = 7.78 Mg/m³
energy of formation from the pure elements = -0.055 eV per atom
crystal system = orthorhombic

```
data_Tb6Pm5In
_chemical_formula_sum 'Tb12 Pm10 In2'
_cell_length_a 5.0048
_cell_length_b 10.1023
_cell_length_c 15.1412
_cell_angle_alpha 90.00
_cell_angle_beta 90.00
_cell_angle_gamma 90.00
_symmetry_space_group_name_H-M 'I m m m'
_symmetry_Int_Tables_number 71
_symmetry_space_group_name_Hall '-I 2 2'
loop_
_atom_site_label
_atom_site_type_symbol
_atom_site_fract_x
_atom_site_fract_y
_atom_site_fract_z
_atom_site_occupancy
Tb1 Tb 0.0000 0.2429 0.0000 1
Tb2 Tb 0.0000 0.2551 0.3355 1
Pm1 Pm 0.0000 0.0000 0.1676 1
Pm2 Pm 0.0000 0.0000 0.5000 1
Pm3 Pm 0.0000 0.5000 0.1630 1
In1 In 0.0000 0.5000 0.5000 1
```

***

No. 4
Below is a relaxed LiTlMo2 crystal, with properties calculated at the PBE level.

Properties
ρ = 10.06 Mg/m³
energy relative to the lowest polymorph listed for this composition = 10.1 kJ/mol of atoms
energy of formation from the pure elements = 0.389 eV per atom
crystal system = monoclinic

```
data_LiTlMo2
_chemical_formula_sum 'Li2 Tl2 Mo4'
_cell_length_a 10.2133
_cell_length_b 3.4169
_cell_length_c 4.1255
_cell_angle_alpha 90.00
_cell_angle_beta 112.40
_cell_angle_gamma 90.00
_symmetry_space_group_name_H-M 'C 1 2/m 1'
_symmetry_Int_Tables_number 12
loop_
_symmetry_equiv_pos_as_xyz
'x,y,z'
'-x,-y,-z'
'-x,y,-z'
'x,-y,z'
'x+1/2,y+1/2,z'
'-x+1/2,-y+1/2,-z'
'-x+1/2,y+1/2,-z'
'x+1/2,-y+1/2,z'
loop_
_atom_site_label
_atom_site_type_symbol
_atom_site_fract_x
_atom_site_fract_y
_atom_site_fract_z
_atom_site_occupancy
Li1 Li 0.0000 0.0000 0.0000 1
Tl1 Tl 0.0000 0.5000 0.5000 1
Mo1 Mo 0.2441 0.5000 0.2281 1
```

***

No. 5
Below is a relaxed CuRe2Te crystal, with properties calculated at the PBE level.

Properties
ρ = 14.10 Mg/m³
E_form (uncorrected) = 0.6832 eV per atom
crystal system = monoclinic

```
data_CuRe2Te
_chemical_formula_sum 'Cu2 Re4 Te2'
_cell_length_a 8.7582
_cell_length_b 3.0652
_cell_length_c 5.0198
_cell_angle_alpha 90.00
_cell_angle_beta 99.89
_cell_angle_gamma 90.00
_symmetry_space_group_name_H-M 'C 1 m 1'
_symmetry_Int_Tables_number 8
loop_
_symmetry_equiv_pos_as_xyz
'x,y,z'
'x,-y,z'
'x+1/2,y+1/2,z'
'x+1/2,-y+1/2,z'
loop_
_atom_site_label
_atom_site_type_symbol
_atom_site_fract_x
_atom_site_fract_y
_atom_site_fract_z
_atom_site_occupancy
Cu1 Cu 0.0000 0.0000 0.0000 1
Re1 Re 0.0145 0.5000 0.5704 1
Re2 Re 0.2541 0.0000 0.7784 1
Te1 Te 0.2625 0.5000 0.2524 1
```

***

No. 6
Below is a relaxed SiRu2Se crystal, with properties calculated at the PBE level.

Properties
ρ = 9.08 Mg/m³
E_form (uncorrected) = 0.0077 eV per atom
energy relative to the lowest polymorph listed for this composition = 18.2 kJ/mol of atoms
crystal system = cubic

```
data_SiRu2Se
_chemical_formula_sum 'Si4 Ru8 Se4'
_cell_length_a 6.0920
_cell_length_b 6.0920
_cell_length_c 6.0920
_cell_angle_alpha 90.00
_cell_angle_beta 90.00
_cell_angle_gamma 90.00
_symmetry_space_group_name_H-M 'F m -3 m'
_symmetry_Int_Tables_number 225
_symmetry_space_group_name_Hall '-F 4 2 3'
loop_
_atom_site_label
_atom_site_type_symbol
_atom_site_fract_x
_atom_site_fract_y
_atom_site_fract_z
_atom_site_occupancy
Si1 Si 0.0000 0.0000 0.0000 1
Ru1 Ru 0.2500 0.2500 0.2500 1
Se1 Se 0.0000 0.0000 0.5000 1
```

***

No. 7
Below is a relaxed ScMnW2 crystal, with properties calculated at the PBE level.

Properties
ρ = 12.20 Mg/m³
energy relative to the lowest polymorph listed for this composition = 12.5 kJ/mol of atoms
energy of formation from the pure elements = 0.219 eV per atom
crystal system = orthorhombic

```
data_ScMnW2
_chemical_formula_sum 'Sc2 Mn2 W4'
_cell_length_a 3.2193
_cell_length_b 4.5034
_cell_length_c 8.7808
_cell_angle_alpha 90.00
_cell_angle_beta 90.00
_cell_angle_gamma 90.00
_symmetry_space_group_name_H-M 'C m m 2'
_symmetry_Int_Tables_number 35
loop_
_symmetry_equiv_pos_as_xyz
'x,y,z'
'-x,-y,z'
'-x,y,z'
'x,-y,z'
'x+1/2,y+1/2,z'
'-x+1/2,-y+1/2,z'
'-x+1/2,y+1/2,z'
'x+1/2,-y+1/2,z'
loop_
_atom_site_label
_atom_site_type_symbol
_atom_site_fract_x
_atom_site_fract_y
_atom_site_fract_z
_atom_site_occupancy
Sc1 Sc 0.0000 0.0000 0.0000 1
Mn1 Mn 0.0000 0.5000 0.2435 1
W1 W 0.0000 0.0000 0.4641 1
W2 W 0.0000 0.5000 0.7184 1
```

***

No. 8
Below is a relaxed Cd2CoOs crystal, with properties calculated at the PBE level.

Properties
ρ = 12.05 Mg/m³
energy relative to the lowest polymorph listed for this composition = 33.4 kJ/mol of atoms
energy of formation from the pure elements = 0.620 eV per atom
crystal system = tetragonal

```
data_Cd2CoOs
_chemical_formula_sum 'Cd4 Co2 Os2'
_cell_length_a 4.2183
_cell_length_b 4.2183
_cell_length_c 7.3400
_cell_angle_alpha 90.00
_cell_angle_beta 90.00
_cell_angle_gamma 90.00
_symmetry_space_group_name_H-M 'I -4 m 2'
_symmetry_Int_Tables_number 119
_symmetry_space_group_name_Hall 'I -4 -2'
loop_
_atom_site_label
_atom_site_type_symbol
_atom_site_fract_x
_atom_site_fract_y
_atom_site_fract_z
_atom_site_occupancy
Cd1 Cd 0.0000 0.0000 0.0000 1
Cd2 Cd 0.0000 0.5000 0.2500 1
Co1 Co 0.0000 0.5000 0.7500 1
Os1 Os 0.0000 0.0000 0.5000 1
```

***

No. 9
Below is a relaxed Tc2Ir2Pd crystal, with properties calculated at the PBE level.

Properties
ρ = 14.62 Mg/m³
energy relative to the lowest polymorph listed for this composition = 4.2 kJ/mol of atoms
energy of formation from the pure elements = 0.090 eV per atom
crystal system = tetragonal

```
data_Tc2Ir2Pd
_chemical_formula_sum 'Tc4 Ir4 Pd2'
_cell_length_a 7.5590
_cell_length_b 7.5590
_cell_length_c 2.7301
_cell_angle_alpha 90.00
_cell_angle_beta 90.00
_cell_angle_gamma 90.00
_symmetry_space_group_name_H-M 'P 4/m b m'
_symmetry_Int_Tables_number 127
_symmetry_space_group_name_Hall '-P 4 2ab'
loop_
_atom_site_label
_atom_site_type_symbol
_atom_site_fract_x
_atom_site_fract_y
_atom_site_fract_z
_atom_site_occupancy
Tc1 Tc 0.1226 0.3774 0.0000 1
Ir1 Ir 0.1682 0.6682 0.5000 1
Pd1 Pd 0.0000 0.0000 0.0000 1
```

***

No. 10
Below is a relaxed Pr3ZnAg2 crystal, with properties calculated at the PBE level.

Properties
ρ = 7.30 Mg/m³
energy of formation from the pure elements = -0.258 eV per atom
crystal system = trigonal

```
data_Pr3ZnAg2
_chemical_formula_sum 'Pr6 Zn2 Ag4'
_cell_length_a 5.3225
_cell_length_b 5.3225
_cell_length_c 13.0492
_cell_angle_alpha 90.00
_cell_angle_beta 90.00
_cell_angle_gamma 120.00
_symmetry_space_group_name_H-M 'P -3 m 1'
_symmetry_Int_Tables_number 164
_symmetry_space_group_name_Hall '-P 3 2"'
loop_
_atom_site_label
_atom_site_type_symbol
_atom_site_fract_x
_atom_site_fract_y
_atom_site_fract_z
_atom_site_occupancy
Pr1 Pr 0.0000 0.0000 0.2473 1
Pr2 Pr 0.3333 0.6667 0.4145 1
Pr3 Pr 0.3333 0.6667 0.9176 1
Zn1 Zn 0.3333 0.6667 0.1674 1
Ag1 Ag 0.0000 0.0000 0.0000 1
Ag2 Ag 0.0000 0.0000 0.5000 1
Ag3 Ag 0.3333 0.6667 0.6707 1
```

***

No. 11
Below is a relaxed Tb6Pr5Er crystal, with properties calculated at the PBE level.

Properties
ρ = 7.53 Mg/m³
energy of formation from the pure elements = 0.018 eV per atom
crystal system = triclinic

```
data_Tb6Pr5Er
_chemical_formula_sum 'Tb6 Pr5 Er1'
_cell_length_a 6.2469
_cell_length_b 7.2612
_cell_length_c 9.5854
_cell_angle_alpha 112.19
_cell_angle_beta 90.42
_cell_angle_gamma 90.06
_symmetry_space_group_name_H-M 'P -1'
_symmetry_Int_Tables_number 2
loop_
_symmetry_equiv_pos_as_xyz
'x,y,z'
'-x,-y,-z'
loop_
_atom_site_label
_atom_site_type_symbol
_atom_site_fract_x
_atom_site_fract_y
_atom_site_fract_z
_atom_site_occupancy
Tb1 Tb 0.9999 0.2484 0.9999 1
Tb2 Tb 0.3334 0.0836 0.6689 1
Tb3 Tb 0.3333 0.5852 0.6690 1
Pr1 Pr 0.1650 0.6669 0.3337 1
Pr2 Pr 0.1693 0.1653 0.3307 1
Pr3 Pr 0.5000 0.5000 0.0000 1
Er1 Er 0.5000 0.0000 0.0000 1
```

***

No. 12
Below is a relaxed AcCdInGe crystal, with properties calculated at the PBE level.

Properties
ρ = 8.05 Mg/m³
energy of formation from the pure elements = -0.239 eV per atom
crystal system = cubic

```
data_AcCdInGe
_chemical_formula_sum 'Ac4 Cd4 In4 Ge4'
_cell_length_a 7.5743
_cell_length_b 7.5743
_cell_length_c 7.5743
_cell_angle_alpha 90.00
_cell_angle_beta 90.00
_cell_angle_gamma 90.00
_symmetry_space_group_name_H-M 'F -4 3 m'
_symmetry_Int_Tables_number 216
_symmetry_space_group_name_Hall 'F -4 2 3'
loop_
_atom_site_label
_atom_site_type_symbol
_atom_site_fract_x
_atom_site_fract_y
_atom_site_fract_z
_atom_site_occupancy
Ac1 Ac 0.0000 0.0000 0.0000 1
Cd1 Cd 0.2500 0.2500 0.2500 1
In1 In 0.0000 0.0000 0.5000 1
Ge1 Ge 0.2500 0.2500 0.7500 1
```